# PBE+U CoAgPO4, relaxed
data_CoAgPO4
_chemical_formula_sum 'Co4 Ag4 P4 O16'
_cell_length_a 5.753
_cell_length_b 6.620
_cell_length_c 9.617
_cell_angle_alpha 75.06
_cell_angle_beta 78.99
_cell_angle_gamma 78.92
_symmetry_space_group_name_H-M 'P 1'
_symmetry_Int_Tables_number 1
_symmetry_space_group_name_Hall 'P 1'
loop_
_atom_site_label
_atom_site_fract_x
_atom_site_fract_y
_atom_site_fract_z
Co1 0.162 0.060 0.210
Co2 0.285 0.174 0.562
Co3 0.715 0.826 0.438
Co4 0.838 0.940 0.790
Ag1 0.188 0.388 0.868
Ag2 0.314 0.528 0.235
Ag3 0.686 0.472 0.765
Ag4 0.812 0.612 0.132
P1 0.181 0.718 0.529
P2 0.311 0.865 0.899
P3 0.689 0.135 0.101
P4 0.819 0.282 0.471
O1 0.075 0.208 0.393
O2 0.124 0.734 0.878
O3 0.151 0.777 0.362
O4 0.255 0.480 0.581
O5 0.265 0.890 0.057
O6 0.280 0.083 0.788
O7 0.367 0.844 0.551
O8 0.427 0.250 0.135
O9 0.573 0.750 0.865
O10 0.633 0.156 0.449
O11 0.720 0.917 0.212
O12 0.735 0.110 0.943
O13 0.745 0.520 0.419
O14 0.849 0.223 0.638
O15 0.876 0.266 0.122
O16 0.925 0.792 0.607
# Calculated volume = 12.3 Å³/atom
# Energy = -6.2411 eV/atom
# Total magnetic moment = 3.000 μB/f.u.
# Space-group type = P-1 (2)
# Energy above the most stable polymorph in this dataset = 0.014 eV per atom